Material: Y3Mg3GaCu2
Method: DFT, PBE
State: relaxed

M_tot	0.03	μB/f.u.
crystal system	hexagonal

Unit cell a=7.4600 b=7.4600 c=4.0991 alpha=90.00 beta=90.00 gamma=120.00
With the nearest neighbours (Å) after each atom.
Atoms (fractional coordinates):
Y  0.4162  0.4162  0.0000  4 Cu 3.04, 1 Ga 3.10, 6 Mg 3.23-3.39
Y  0.5838  0.0000  0.0000  4 Cu 3.04, 1 Ga 3.10, 6 Mg 3.23-3.39
Y  0.0000  0.5838  0.0000  4 Cu 3.04, 1 Ga 3.10, 6 Mg 3.23-3.39
Ga  0.0000  0.0000  0.0000  6 Mg 2.76
Cu  0.6667  0.3333  0.5000  3 Mg 2.86, 6 Y 3.04
Cu  0.3333  0.6667  0.5000  3 Mg 2.86, 6 Y 3.04
Mg  0.0000  0.2486  0.5000  2 Ga 2.76, 2 Cu 2.86
Mg  0.2486  0.0000  0.5000  2 Ga 2.76, 2 Cu 2.86
Mg  0.7514  0.7514  0.5000  2 Ga 2.76, 2 Cu 2.86

---

Material: Y3Mg3Ga2Cu
Method: DFT, PBE
State: relaxed

M_tot	0.00	μB/f.u.
crystal system	hexagonal

Unit cell a=7.3595 b=7.3595 c=4.2447 alpha=90.00 beta=90.00 gamma=120.00
With the nearest neighbours (Å) after each atom.
Atoms (fractional coordinates):
Y  0.0000  0.5865  0.0000  1 Cu 3.04, 4 Ga 3.07, 6 Mg 3.31-3.39
Y  0.5865  0.0000  0.0000  1 Cu 3.04, 4 Ga 3.07, 6 Mg 3.31-3.39
Y  0.4135  0.4135  0.0000  1 Cu 3.04, 4 Ga 3.07, 6 Mg 3.31-3.39
Cu  0.0000  0.0000  0.0000  6 Mg 2.77, 3 Y 3.04
Ga  0.6667  0.3333  0.5000  3 Mg 2.85, 6 Y 3.07
Ga  0.3333  0.6667  0.5000  3 Mg 2.85, 6 Y 3.07
Mg  0.0000  0.2415  0.5000  2 Cu 2.77, 2 Ga 2.85, 2 Mg 3.08
Mg  0.7585  0.7585  0.5000  2 Cu 2.77, 2 Ga 2.85, 2 Mg 3.08
Mg  0.2415  0.0000  0.5000  2 Cu 2.77, 2 Ga 2.85, 2 Mg 3.08

---

Material: Ga40CuMo8
Method: DFT, PBE
State: relaxed

M_tot	0.16	μB/f.u.
crystal system	trigonal

Unit cell a=9.5446 b=9.5446 c=9.5446 alpha=94.77 beta=94.77 gamma=94.77
With the nearest neighbours (Å) after each atom.
Atoms (fractional coordinates):
Cu  0.0000  0.0000  0.0000  6 Ga 2.72, 2 Mo 3.01
Mo  0.8003  0.8003  0.8003  9 Ga 2.59-2.67
Mo  0.3866  0.1121  0.7090  10 Ga 2.55-2.69
Mo  0.1997  0.1997  0.1997  9 Ga 2.59-2.67
Mo  0.6134  0.8879  0.2910  10 Ga 2.55-2.69
Mo  0.2910  0.6134  0.8879  10 Ga 2.55-2.69
Mo  0.7090  0.3866  0.1121  10 Ga 2.55-2.69
Mo  0.1121  0.7090  0.3866  10 Ga 2.55-2.69
Mo  0.8879  0.2910  0.6134  10 Ga 2.55-2.69
Ga  0.5990  0.9684  0.7868  2 Mo 2.60-2.63, 5 Ga 2.75-2.87
Ga  0.7336  0.3655  0.3892  2 Mo 2.66-2.68, 7 Ga 2.83-2.95
Ga  0.4504  0.7791  0.0740  2 Mo 2.57-2.58, 4 Ga 2.75-2.86
Ga  0.0316  0.2132  0.4010  2 Mo 2.60-2.63, 5 Ga 2.75-2.87
Ga  0.0554  0.7458  0.8771  2 Mo 2.59-2.67, 3 Ga 2.69-2.83, 1 Cu 2.72
Ga  0.5000  0.5000  0.5000  12 Ga 2.89-3.00
Ga  0.9260  0.5496  0.2209  2 Mo 2.57-2.58, 4 Ga 2.75-2.86
Ga  0.6108  0.2664  0.6345  2 Mo 2.66-2.68, 7 Ga 2.83-2.95
Ga  0.7786  0.5378  0.6745  2 Mo 2.67-2.69, 6 Ga 2.81-2.97
Ga  0.7791  0.0740  0.4504  2 Mo 2.57-2.58, 4 Ga 2.75-2.86
Ga  0.3655  0.3892  0.7336  2 Mo 2.66-2.68, 7 Ga 2.83-2.95
Ga  0.1247  0.1770  0.6790  2 Mo 2.62-2.64, 6 Ga 2.69-2.92
Ga  0.2664  0.6345  0.6108  2 Mo 2.66-2.68, 7 Ga 2.83-2.95
Ga  0.4622  0.3255  0.2214  2 Mo 2.67-2.69, 6 Ga 2.81-2.97
Ga  0.6345  0.6108  0.2664  2 Mo 2.66-2.68, 7 Ga 2.83-2.95
Ga  0.6745  0.7786  0.5378  2 Mo 2.67-2.69, 6 Ga 2.81-2.97
Ga  0.8771  0.0554  0.7458  2 Mo 2.59-2.67, 3 Ga 2.69-2.83, 1 Cu 2.72
Ga  0.3892  0.7336  0.3655  2 Mo 2.66-2.68, 7 Ga 2.83-2.95
Ga  0.2214  0.4622  0.3255  2 Mo 2.67-2.69, 6 Ga 2.81-2.97
Ga  0.1770  0.6790  0.1247  2 Mo 2.62-2.64, 6 Ga 2.69-2.92
Ga  0.7868  0.5990  0.9684  2 Mo 2.60-2.63, 5 Ga 2.75-2.87
Ga  0.1229  0.9446  0.2542  2 Mo 2.59-2.67, 3 Ga 2.69-2.83, 1 Cu 2.72
Ga  0.3210  0.8753  0.8230  2 Mo 2.62-2.64, 6 Ga 2.69-2.92
Ga  0.4010  0.0316  0.2132  2 Mo 2.60-2.63, 5 Ga 2.75-2.87
Ga  0.2132  0.4010  0.0316  2 Mo 2.60-2.63, 5 Ga 2.75-2.87
Ga  0.0740  0.4504  0.7791  2 Mo 2.57-2.58, 4 Ga 2.75-2.86
Ga  0.2209  0.9260  0.5496  2 Mo 2.57-2.58, 4 Ga 2.75-2.86
Ga  0.9446  0.2542  0.1229  2 Mo 2.59-2.67, 3 Ga 2.69-2.83, 1 Cu 2.72
Ga  0.5000  0.5000  0.0000  2 Mo 2.55, 6 Ga 2.79-2.83
Ga  0.0000  0.5000  0.5000  2 Mo 2.55, 6 Ga 2.79-2.83
Ga  0.5378  0.6745  0.7786  2 Mo 2.67-2.69, 6 Ga 2.81-2.97
Ga  0.3255  0.2214  0.4622  2 Mo 2.67-2.69, 6 Ga 2.81-2.97
Ga  0.9684  0.7868  0.5990  2 Mo 2.60-2.63, 5 Ga 2.75-2.87
Ga  0.5496  0.2209  0.9260  2 Mo 2.57-2.58, 4 Ga 2.75-2.86
Ga  0.2542  0.1229  0.9446  2 Mo 2.59-2.67, 3 Ga 2.69-2.83, 1 Cu 2.72
Ga  0.6790  0.1247  0.1770  2 Mo 2.62-2.64, 6 Ga 2.69-2.92
Ga  0.5000  0.0000  0.5000  2 Mo 2.55, 6 Ga 2.79-2.83
Ga  0.8753  0.8230  0.3210  2 Mo 2.62-2.64, 6 Ga 2.69-2.92
Ga  0.8230  0.3210  0.8753  2 Mo 2.62-2.64, 6 Ga 2.69-2.92
Ga  0.7458  0.8771  0.0554  2 Mo 2.59-2.67, 3 Ga 2.69-2.83, 1 Cu 2.72

---

Material: GaCu2Mo
Method: DFT, PBE
State: relaxed

M_tot	1.31	μB/f.u.
crystal system	cubic

Unit cell a=4.2668 b=4.2668 c=4.2668 alpha=60.00 beta=60.00 gamma=60.00
With the nearest neighbours (Å) after each atom.
Atoms (fractional coordinates):
Mo  0.2500  0.2500  0.2500  4 Ga 2.61, 4 Cu 2.61
Ga  0.5000  0.5000  0.5000  4 Mo 2.61, 4 Cu 2.61
Cu  0.0000  0.0000  0.0000  4 Cu 2.61, 4 Mo 2.61
Cu  0.7500  0.7500  0.7500  4 Cu 2.61, 4 Ga 2.61

---

| no. | calculated total energy (eV per atom) | V (A^3/atom) |
| --- | --- | --- |
| 1 | -4.111 | 22.0 |
| 2 | -4.201 | 22.1 |
| 3 | -4.455 | 17.5 |
| 4 | -5.108 | 13.7 |